Computed, not measured: an optimized crystal structure of Li2CoSbO4 at the GGA+U level of DFT.

Properties
electronic total energy: -44.797 eV for the cell shown

a b c (Å): 4.289 4.293 5.481
angles (deg): 112.98 112.93 90.02
Space group P1 (No. 1)
Unique sites:
Li (0.000, 0.000, 0.000) (multiplicity 1)
Li (0.231, 0.732, 0.463) (multiplicity 1)
Co (0.729, 0.228, 0.457) (multiplicity 1)
Sb (0.476, 0.478, 0.954) (multiplicity 1)
O (0.243, 0.240, 0.482) (multiplicity 1)
O (0.485, 0.987, 0.973) (multiplicity 1)
O (0.710, 0.707, 0.414) (multiplicity 1)
O (0.967, 0.469, 0.936) (multiplicity 1)